Entry 1:
A plane-wave DFT calculation with GGA-PBE was carried out for an optimized crystal structure of Co2Ge2Sb.

Cell lengths 7.254, 7.254, 2.868 Å; angles 90.00, 90.00, 90.00 degrees
Element x y z (fractional)
Sb  0.000  0.000  0.000
Sb  0.500  0.500  0.000
Ge  0.142  0.642  0.500
Ge  0.358  0.142  0.500
Ge  0.642  0.858  0.500
Ge  0.858  0.358  0.500
Co  0.145  0.355  0.000
Co  0.855  0.645  0.000
Co  0.355  0.855  0.000
Co  0.645  0.145  0.000

Computed properties:
Formation energy without anion corrections   0.44 eV per formula unit
Excess energy over the best structure of this formula in the dataset   0.12 eV/f.u.

***

Entry 2:
A plane-wave DFT calculation with GGA-PBE was carried out for an optimized crystal structure of Cs5TlI5.

Cell lengths 7.724, 9.469, 10.885 Å; angles 107.08, 90.00, 114.07 degrees
Element x y z (fractional)
Cs  0.337  0.674  0.168
Cs  0.329  0.658  0.671
Cs  0.000  0.000  0.500
Cs  0.671  0.342  0.329
Cs  0.663  0.326  0.832
I  0.161  0.322  0.320
I  0.843  0.686  0.157
I  0.839  0.678  0.680
I  0.500  0.000  0.000
I  0.157  0.314  0.843
Tl  0.000  0.000  0.000

Computed properties:
Formation energy without anion corrections   -13.37 eV per formula unit

***

Entry 3:
A plane-wave DFT calculation with GGA-PBE was carried out for an optimized crystal structure of CoSiAg.

Cell lengths 3.951, 3.951, 3.087 Å; angles 90.00, 90.00, 120.00 degrees
Element x y z (fractional)
Si  0.667  0.333  0.501
Co  0.333  0.667  0.499
Ag  0.000  0.000  0.000

Computed properties:
Formation energy without anion corrections   0.22 eV per formula unit
Excess energy over the best structure of this formula in the dataset   0.17 eV/f.u.

***

Entry 4:
A plane-wave DFT calculation with GGA-PBE was carried out for an optimized crystal structure of HfFeNi2H.

Cell lengths 3.712, 3.712, 3.877 Å; angles 90.00, 90.00, 90.00 degrees
Element x y z (fractional)
H  0.000  0.000  0.000
Fe  0.000  0.000  0.500
Ni  0.000  0.500  0.000
Ni  0.500  0.000  0.000
Hf  0.500  0.500  0.500

Computed properties:
Excess energy over the best structure of this formula in the dataset   0.00 eV/f.u.

***

Entry 5:
A plane-wave DFT calculation with GGA-PBE was carried out for an optimized crystal structure of Ba2SbPb.

Cell lengths 6.057, 6.057, 6.057 Å; angles 60.00, 60.00, 60.00 degrees
Element x y z (fractional)
Pb  0.500  0.500  0.500
Sb  0.000  0.000  0.000
Ba  0.250  0.250  0.250
Ba  0.750  0.750  0.750

Computed properties:
Formation energy without anion corrections   -2.48 eV per formula unit
Excess energy over the best structure of this formula in the dataset   0.41 eV/f.u.

***

Entry 6:
A plane-wave DFT calculation with GGA-PBE was carried out for an optimized crystal structure of CeThZnRu.

Cell lengths 5.040, 5.040, 5.040 Å; angles 60.00, 60.00, 60.00 degrees
Element x y z (fractional)
Ce  0.000  0.000  0.000
Zn  0.250  0.250  0.250
Ru  0.750  0.750  0.750
Th  0.500  0.500  0.500

Computed properties:
Total DFT energy (no corrections)   -6.22 eV per atom

***

Entry 7:
A plane-wave DFT calculation with GGA-PBE was carried out for an optimized crystal structure of As2Se.

Cell lengths 4.085, 4.085, 10.840 Å; angles 85.01, 85.01, 57.75 degrees
Element x y z (fractional)
As  0.351  0.351  0.065
As  0.649  0.649  0.935
As  0.056  0.056  0.782
As  0.944  0.944  0.218
Se  0.655  0.655  0.343
Se  0.345  0.345  0.657

Computed properties:
Formation energy without anion corrections   0.11 eV per formula unit
Excess energy over the best structure of this formula in the dataset   0.00 eV/f.u.

***

Entry 8:
A plane-wave DFT calculation with GGA-PBE was carried out for an optimized crystal structure of Na2HgSb.

Cell lengths 6.838, 6.838, 6.838 Å; angles 141.83, 54.65, 142.41 degrees
Element x y z (fractional)
Hg  0.500  0.000  0.500
Sb  0.000  0.000  0.000
Na  0.259  0.000  0.259
Na  0.741  0.000  0.741

Computed properties:
Formation energy without anion corrections   0.30 eV per formula unit

***

Entry 9:
A plane-wave DFT calculation with GGA-PBE was carried out for an optimized crystal structure of TaBeCu.

Cell lengths 4.074, 4.074, 4.074 Å; angles 60.00, 60.00, 60.00 degrees
Element x y z (fractional)
Ta  0.500  0.500  0.500
Cu  0.750  0.750  0.750
Be  0.250  0.250  0.250

Computed properties:
Excess energy over the best structure of this formula in the dataset   3.05 eV/f.u.

***

Entry 10:
A plane-wave DFT calculation with GGA-PBE was carried out for an optimized crystal structure of Hf2OsPb.

Cell lengths 7.711, 7.711, 6.254 Å; angles 51.94, 51.94, 90.00 degrees
Element x y z (fractional)
Hf  0.375  0.428  0.750
Hf  0.572  0.125  0.250
Hf  0.875  0.822  0.750
Hf  0.178  0.625  0.250
Pb  0.750  0.250  0.500
Pb  0.000  0.000  0.000
Os  0.250  0.750  0.500
Os  0.500  0.500  0.000

Computed properties:
Total DFT energy (no corrections)   -8.42 eV per atom

***

Entry 11:
A plane-wave DFT calculation with GGA-PBE was carried out for an optimized crystal structure of TbCeMnGa.

Cell lengths 5.065, 5.065, 5.065 Å; angles 60.00, 60.00, 60.00 degrees
Element x y z (fractional)
Ce  0.500  0.500  0.500
Ga  0.250  0.250  0.250
Tb  0.000  0.000  0.000
Mn  0.750  0.750  0.750

Computed properties:
Total DFT energy (no corrections)   -5.80 eV per atom

***

Entry 12:
A plane-wave DFT calculation with GGA-PBE was carried out for an optimized crystal structure of Li3ScCd12.

Cell lengths 4.348, 4.348, 17.787 Å; angles 90.00, 90.00, 90.00 degrees
Element x y z (fractional)
Cd  0.000  0.500  0.871
Cd  0.000  0.500  0.624
Cd  0.500  0.000  0.129
Cd  0.500  0.500  0.000
Cd  0.500  0.000  0.871
Cd  0.500  0.500  0.500
Cd  0.500  0.000  0.376
Cd  0.000  0.500  0.129
Cd  0.500  0.500  0.746
Cd  0.500  0.500  0.254
Cd  0.500  0.000  0.624
Cd  0.000  0.500  0.376
Li  0.000  0.000  0.748
Li  0.000  0.000  0.500
Li  0.000  0.000  0.252
Sc  0.000  0.000  0.000

Computed properties:
Total DFT energy (no corrections)   -1.61 eV per atom

***

| no. | total magnetization (μB per formula unit) |
| --- | --- |
| 1 | 0.00 |
| 2 | 0.73 |
| 3 | 0.00 |
| 4 | 0.84 |
| 5 | 0.00 |
| 6 | 0.48 |
| 7 | 0.00 |
| 8 | 0.00 |
| 9 | 0.00 |
| 10 | 0.00 |
| 11 | 2.39 |
| 12 | 0.00 |